[1]
Crystalline Li3ZrV2S6 at its relaxed geometry. Source: Alexandria via LeMat-Bulk, functional PBE.

abc: 6.0445 10.3307 6.5194
angles: 90.00 107.27 90.00
Space group C2/m (No. 12)
Symmetry-distinct sites (fractional):
Li 0.0000 0.0000 0.0000
Li 0.0000 0.3284 0.0000
Zr 0.0000 0.5000 0.5000
V 0.0000 0.1339 0.5000
S 0.2443 0.0000 0.7556
S 0.2460 0.1774 0.2734

[2]
Crystalline LiWS3 at its relaxed geometry. Source: Alexandria via LeMat-Bulk, functional PBE.

Summary:
Energy above the lowest structure with this stoichiometry (kcal/mol of atoms): 32.688

abc: 4.2866 4.2866 4.2866
angles: 90.00 90.00 90.00
Space group Pm-3m (No. 221)
Symmetry-distinct sites (fractional):
Li 0.0000 0.0000 0.0000
W 0.5000 0.5000 0.5000
S 0.0000 0.0000 0.5000

[3]
Crystalline Li2WS at its relaxed geometry. Source: Alexandria via LeMat-Bulk, functional PBE.

abc: 7.1913 7.1913 4.5989
angles: 90.00 90.00 90.00
Space group I-42d (No. 122)
Symmetry-distinct sites (fractional):
Li 0.1925 0.2500 0.1250
W 0.0000 0.0000 0.5000
S 0.0000 0.0000 0.0000

[4]
Crystalline LiWS3 at its relaxed geometry. Source: Alexandria via LeMat-Bulk, functional PBE.

Summary:
Energy above the lowest structure with this stoichiometry (kcal/mol of atoms): 3.489

abc: 4.7121 4.7121 4.7121
angles: 90.00 90.00 90.00
Space group Pm-3m (No. 221)
Symmetry-distinct sites (fractional):
Li 0.0000 0.0000 0.0000
W 0.5000 0.5000 0.5000
S 0.0000 0.5000 0.5000

[5]
Crystalline LiW3S at its relaxed geometry. Source: Alexandria via LeMat-Bulk, functional PBE.

Summary:
Energy above the lowest structure with this stoichiometry (kcal/mol of atoms): 0.000

abc: 4.4370 4.4370 4.4370
angles: 90.00 90.00 90.00
Space group Pm-3m (No. 221)
Symmetry-distinct sites (fractional):
Li 0.0000 0.0000 0.0000
W 0.0000 0.5000 0.5000
S 0.5000 0.5000 0.5000

[6]
Crystalline LiWS3 at its relaxed geometry. Source: Alexandria via LeMat-Bulk, functional PBE.

Summary:
Energy above the lowest structure with this stoichiometry (kcal/mol of atoms): 0.000

abc: 13.8374 3.8488 8.6004
angles: 90.00 108.79 90.00
Space group C2/m (No. 12)
Symmetry-distinct sites (fractional):
Li 0.1217 0.0000 0.4483
W 0.1606 0.5000 0.8553
S 0.0062 0.5000 0.2898
S 0.1427 0.0000 0.9972
S 0.2163 0.5000 0.6360

| no. | N(E_F) (states/eV/f.u.) | DFT total energy (Ry per atom) |
| --- | --- | --- |
| 1 | 2.88 | -0.4408 |
| 2 | 3.85 | -0.3324 |
| 3 | 1.81 | -0.3686 |
| 4 | 1.35 | -0.4255 |
| 5 | 6.13 | -0.5871 |
| 6 | 2.49 | -0.4366 |